No. 1
DFT (PBE-GGA) results for AgAsPtAu after structural relaxation.

Unit cell a=6.533 b=6.533 c=6.533 alpha=90.00 beta=90.00 gamma=90.00
Space group F-43m (No. 216)
Unique sites:
Ag1 0.000 0.000 0.000 (multiplicity 4)
As1 0.000 0.000 0.500 (multiplicity 4)
Pt1 0.250 0.250 0.750 (multiplicity 4)
Au1 0.250 0.250 0.250 (multiplicity 4)

## Properties
- Magnetic moment: 0.000 Bohr magnetons per cell
- ΔE_f: 0.080 eV/atom
- Uncorrected energy: -4.124 eV per atom

No. 2
DFT (PBE-GGA) results for CaAcAu after structural relaxation.

Unit cell a=4.3765 b=4.3765 c=6.8710 alpha=90.00 beta=90.00 gamma=120.00
Space group P3m1 (No. 156)
Unique sites:
Ca1 0.0000 0.0000 0.0000 (multiplicity 1)
Ac1 0.3333 0.6667 0.5020 (multiplicity 1)
Au1 0.6667 0.3333 0.2356 (multiplicity 1)

## Properties
- Magnetic moment: 0.000 Bohr magnetons per cell
- ΔE_f: -0.459 eV/atom
- ΔE to the lowest computed polymorph: 0.089 eV per atom
- Uncorrected energy: -3.588 eV per atom

No. 3
DFT (PBE-GGA) results for BiSbTe2O after structural relaxation.

Unit cell a=5.899 b=5.899 c=5.898 alpha=90.00 beta=90.00 gamma=90.00
Space group P4/mmm (No. 123)
Unique sites:
Bi1 0.000 0.000 0.000 (multiplicity 1)
Sb1 0.000 0.000 0.500 (multiplicity 1)
Te1 0.000 0.500 0.000 (multiplicity 2)
O1 0.500 0.500 0.500 (multiplicity 1)

## Properties
- Magnetic moment: 0.002 Bohr magnetons per cell
- ΔE_f (raw): 1.33 eV/atom
- ΔE to the lowest computed polymorph: 1.264 eV per atom
- Uncorrected energy: -2.522 eV per atom

No. 4
DFT (PBE-GGA) results for YHgS2Cl after structural relaxation.

Unit cell a=5.333 b=5.333 c=5.190 alpha=90.00 beta=90.00 gamma=90.00
Space group P4/mmm (No. 123)
Unique sites:
Y1 0.000 0.000 0.000 (multiplicity 1)
Hg1 0.500 0.500 0.500 (multiplicity 1)
S1 0.000 0.500 0.000 (multiplicity 2)
Cl1 0.000 0.000 0.500 (multiplicity 1)

## Properties
- Magnetic moment: 0.000 Bohr magnetons per cell
- ΔE_f (raw): -0.77 eV/atom
- ΔE to the lowest computed polymorph: 0.000 eV per atom
- Uncorrected energy: -4.145 eV per atom

No. 5
DFT (PBE-GGA) results for TbZnH8Rh4 after structural relaxation.

Unit cell a=5.7346 b=5.7346 c=13.3330 alpha=90.00 beta=90.00 gamma=120.00
Space group R3m (No. 160, hexagonal axes)
Unique sites:
Tb1 0.0000 0.0000 0.0000 (multiplicity 3)
Zn1 0.0000 0.0000 0.3938 (multiplicity 3)
H1 0.0000 0.0000 0.1622 (multiplicity 3)
H2 0.0000 0.0000 0.6207 (multiplicity 3)
H3 0.1931 0.3862 0.5036 (multiplicity 9)
H4 0.2059 0.4119 0.9476 (multiplicity 9)
Rh1 0.0000 0.0000 0.7549 (multiplicity 3)
Rh2 0.1682 0.3364 0.2155 (multiplicity 9)

## Properties
- Magnetic moment: 0.000 Bohr magnetons per cell
- Uncorrected energy: -4.648 eV per atom

No. 6
DFT (PBE-GGA) results for TeAuSe2 after structural relaxation.

Unit cell a=7.039 b=7.039 c=7.039 alpha=90.00 beta=90.00 gamma=90.00
Space group Fm-3m (No. 225)
Unique sites:
Te1 0.000 0.000 0.000 (multiplicity 4)
Au1 0.000 0.000 0.500 (multiplicity 4)
Se1 0.250 0.250 0.250 (multiplicity 8)

## Properties
- Magnetic moment: 0.000 Bohr magnetons per cell
- ΔE_f (raw): 0.42 eV/atom
- ΔE to the lowest computed polymorph: 0.386 eV per atom
- Uncorrected energy: -2.931 eV per atom